No. 1
Material: Rb2SeCl5
Method: DFT, PBE-GGA
State: optimized geometry

Cell and atoms, written as CIF:
```
data_Rb2SeCl5
_chemical_formula_sum 'Rb2 Se1 Cl5'
_cell_length_a 7.423
_cell_length_b 7.423
_cell_length_c 7.205
_cell_angle_alpha 121.01
_cell_angle_beta 121.01
_cell_angle_gamma 90.00
_symmetry_space_group_name_H-M 'P 1'
_symmetry_Int_Tables_number 1
_symmetry_space_group_name_Hall 'P 1'
loop_
_atom_site_label
_atom_site_fract_x
_atom_site_fract_y
_atom_site_fract_z
Rb1 0.253 0.753 0.506
Rb2 0.753 0.253 0.506
Se1 0.004 0.004 0.008
Cl1 0.778 0.241 0.018
Cl2 0.241 0.241 0.018
Cl3 0.778 0.778 0.018
Cl4 0.240 0.778 0.018
Cl5 0.730 0.730 0.460
```

## Properties
energy relative to the elements, uncorrected	-8.799	eV/f.u.
calculated volume	272	Å³/cell


No. 2
Material: CaAc2Nd4
Method: DFT, PBE-GGA
State: optimized geometry

Cell and atoms, written as CIF:
```
data_CaAc2Nd4
_chemical_formula_sum 'Ca1 Ac2 Nd4'
_cell_length_a 6.023
_cell_length_b 6.025
_cell_length_c 9.275
_cell_angle_alpha 108.94
_cell_angle_beta 90.00
_cell_angle_gamma 60.01
_symmetry_space_group_name_H-M 'P 1'
_symmetry_Int_Tables_number 1
_symmetry_space_group_name_Hall 'P 1'
loop_
_atom_site_label
_atom_site_fract_x
_atom_site_fract_y
_atom_site_fract_z
Ca1 0.000 0.000 0.000
Nd1 0.435 0.129 0.694
Nd2 0.143 0.714 0.571
Nd3 0.565 0.871 0.306
Nd4 0.857 0.286 0.429
Ac1 0.714 0.571 0.857
Ac2 0.286 0.429 0.143
```

## Properties
raw total energy	-28.6	eV per cell
density of states at the Fermi level	1.865	states/eV/atom
calculated volume	270	Å³/cell


No. 3
Material: Tm3CdAu4
Method: DFT, PBE-GGA
State: optimized geometry

Cell and atoms, written as CIF:
```
data_Tm3CdAu4
_chemical_formula_sum 'Tm6 Cd2 Au8'
_cell_length_a 4.970
_cell_length_b 7.024
_cell_length_c 9.936
_cell_angle_alpha 90.00
_cell_angle_beta 90.00
_cell_angle_gamma 90.00
_symmetry_space_group_name_H-M 'P 1'
_symmetry_Int_Tables_number 1
_symmetry_space_group_name_Hall 'P 1'
loop_
_atom_site_label
_atom_site_fract_x
_atom_site_fract_y
_atom_site_fract_z
Tm1 0.000 0.000 0.000
Tm2 0.000 0.000 0.500
Tm3 0.500 0.000 0.750
Tm4 0.500 0.000 0.250
Tm5 0.500 0.500 0.750
Tm6 0.500 0.500 0.250
Au1 0.500 0.757 0.000
Au2 0.500 0.757 0.500
Au3 0.500 0.243 0.000
Au4 0.500 0.243 0.500
Au5 0.000 0.756 0.750
Au6 0.000 0.756 0.250
Au7 0.000 0.244 0.250
Au8 0.000 0.244 0.750
Cd1 0.000 0.500 0.000
Cd2 0.000 0.500 0.500
```

## Properties
raw total energy	-67.0	eV per cell
density of states at the Fermi level	0.606	states/eV/atom
calculated volume	347	Å³/cell


No. 4
Material: NdAl4Ni2Ir
Method: DFT, PBE-GGA
State: optimized geometry

Cell and atoms, written as CIF:
```
data_NdAl4Ni2Ir
_chemical_formula_sum 'Nd1 Al4 Ni2 Ir1'
_cell_length_a 4.131
_cell_length_b 4.131
_cell_length_c 9.360
_cell_angle_alpha 77.25
_cell_angle_beta 77.25
_cell_angle_gamma 60.00
_symmetry_space_group_name_H-M 'P 1'
_symmetry_Int_Tables_number 1
_symmetry_space_group_name_Hall 'P 1'
loop_
_atom_site_label
_atom_site_fract_x
_atom_site_fract_y
_atom_site_fract_z
Nd1 0.000 0.000 0.000
Al1 0.407 0.407 0.779
Al2 0.868 0.868 0.396
Al3 0.132 0.132 0.604
Al4 0.593 0.593 0.221
Ni1 0.772 0.772 0.685
Ni2 0.228 0.228 0.315
Ir1 0.500 0.500 0.500
```

## Properties
raw total energy	-45.2	eV per cell
density of states at the Fermi level	0.574	states/eV/atom
calculated volume	134	Å³/cell


No. 5
Material: SrPr2Te4
Method: DFT, PBE-GGA
State: optimized geometry

Cell and atoms, written as CIF:
```
data_SrPr2Te4
_chemical_formula_sum 'Sr2 Pr4 Te8'
_cell_length_a 4.541
_cell_length_b 7.797
_cell_length_c 15.631
_cell_angle_alpha 90.00
_cell_angle_beta 90.00
_cell_angle_gamma 106.93
_symmetry_space_group_name_H-M 'P 1'
_symmetry_Int_Tables_number 1
_symmetry_space_group_name_Hall 'P 1'
loop_
_atom_site_label
_atom_site_fract_x
_atom_site_fract_y
_atom_site_fract_z
Sr1 0.614 0.227 0.750
Sr2 0.386 0.773 0.250
Pr1 0.135 0.269 0.431
Pr2 0.865 0.731 0.931
Pr3 0.135 0.269 0.069
Pr4 0.865 0.731 0.569
Te1 0.774 0.548 0.120
Te2 0.774 0.548 0.380
Te3 0.226 0.452 0.880
Te4 0.226 0.452 0.620
Te5 0.955 0.910 0.750
Te6 0.045 0.090 0.250
Te7 0.500 0.000 0.000
Te8 0.500 0.000 0.500
```

## Properties
distance to the lowest polymorph of the same formula	35	meV/atom
energy relative to the elements, uncorrected	-10.520	eV/f.u.
calculated volume	529	Å³/cell


No. 6
Material: TaTlW3
Method: DFT, PBE-GGA
State: optimized geometry

Cell and atoms, written as CIF:
```
data_TaTlW3
_chemical_formula_sum 'Ta1 Tl1 W3'
_cell_length_a 4.873
_cell_length_b 4.873
_cell_length_c 4.873
_cell_angle_alpha 90.00
_cell_angle_beta 90.00
_cell_angle_gamma 90.00
_symmetry_space_group_name_H-M 'P 1'
_symmetry_Int_Tables_number 1
_symmetry_space_group_name_Hall 'P 1'
loop_
_atom_site_label
_atom_site_fract_x
_atom_site_fract_y
_atom_site_fract_z
Tl1 0.000 0.000 0.000
W1 0.000 0.500 0.000
W2 0.000 0.000 0.500
W3 0.500 0.000 0.000
Ta1 0.500 0.500 0.500
```

## Properties
density of states at the Fermi level	1.677	states/eV/atom
distance to the lowest polymorph of the same formula	912	meV/atom
calculated volume	116	Å³/cell


No. 7
Material: CsBaAs2Br
Method: DFT, PBE-GGA
State: optimized geometry

Cell and atoms, written as CIF:
```
data_CsBaAs2Br
_chemical_formula_sum 'Cs1 Ba1 As2 Br1'
_cell_length_a 5.740
_cell_length_b 5.740
_cell_length_c 6.418
_cell_angle_alpha 90.00
_cell_angle_beta 90.00
_cell_angle_gamma 90.00
_symmetry_space_group_name_H-M 'P 1'
_symmetry_Int_Tables_number 1
_symmetry_space_group_name_Hall 'P 1'
loop_
_atom_site_label
_atom_site_fract_x
_atom_site_fract_y
_atom_site_fract_z
Cs1 0.000 0.000 0.000
As1 0.000 0.500 0.000
As2 0.500 0.000 0.000
Ba1 0.500 0.500 0.500
Br1 0.000 0.000 0.500
```

## Properties
density of states at the Fermi level	1.439	states/eV/atom
distance to the lowest polymorph of the same formula	427	meV/atom
energy relative to the elements, uncorrected	0.563	eV/f.u.
calculated volume	211	Å³/cell